This record from Alexandria describes crystalline Sm2Mg3Au2 at its relaxed geometry. The functional is PBE.

DFT formation energy   -3.9 eV/f.u.
Energy   -3.528 eV per atom

Cell lengths 4.5978, 5.6329, 7.5704 Å; angles 109.64, 90.00, 114.09 degrees
Atoms (fractional coordinates):
Sm 0.8628 0.7256 0.2147
Sm 0.1372 0.2744 0.7853
Mg 0.5000 0.0000 0.0000
Mg 0.6298 0.2596 0.4364
Mg 0.3702 0.7404 0.5636
Au 0.8415 0.6830 0.7923
Au 0.1585 0.3170 0.2077

=====

This record from Alexandria describes crystalline Sm5Mg4Au at its relaxed geometry. The functional is PBE.

DFT formation energy   -2.4 eV/f.u.
Energy   -3.565 eV per atom

Cell lengths 3.8060, 3.8060, 19.0216 Å; angles 90.00, 90.00, 90.00 degrees
Atoms (fractional coordinates):
Sm 0.5000 0.5000 0.0914
Sm 0.5000 0.5000 0.2947
Sm 0.5000 0.5000 0.5000
Sm 0.5000 0.5000 0.7053
Sm 0.5000 0.5000 0.9086
Mg 0.0000 0.0000 0.1962
Mg 0.0000 0.0000 0.3972
Mg 0.0000 0.0000 0.6028
Mg 0.0000 0.0000 0.8038
Au 0.0000 0.0000 0.0000

=====

This record from Alexandria describes crystalline SmMg9Au2 at its relaxed geometry. The functional is PBE.

DFT formation energy   -3.4 eV/f.u.
Energy   -2.415 eV per atom

Cell lengths 7.5251, 9.1951, 9.1951 Å; angles 80.36, 65.85, 65.85 degrees
Atoms (fractional coordinates):
Sm 0.5000 0.0000 0.0000
Sm 0.2500 0.5000 0.5000
Mg 0.7500 0.5000 0.5000
Mg 0.0000 0.0000 0.0000
Mg 0.0063 0.9236 0.6801
Mg 0.6099 0.0764 0.3199
Mg 0.6799 0.1801 0.5764
Mg 0.4363 0.8199 0.4236
Mg 0.7437 0.8199 0.5764
Mg 0.1401 0.1801 0.4236
Mg 0.0701 0.9236 0.3199
Mg 0.3137 0.0764 0.6801
Mg 0.7437 0.5764 0.8199
Mg 0.1401 0.4236 0.1801
Mg 0.0701 0.3199 0.9236
Mg 0.3137 0.6801 0.0764
Mg 0.0063 0.6801 0.9236
Mg 0.6099 0.3199 0.0764
Mg 0.6799 0.5764 0.1801
Mg 0.4363 0.4236 0.8199
Au 0.8750 0.2500 0.7500
Au 0.8750 0.7500 0.2500
Au 0.8750 0.2500 0.2500
Au 0.3750 0.7500 0.7500

=====

| no. | D(E_F) (states/eV/cell) |
| --- | --- |
| 1 | 4.4 |
| 2 | 10.4 |
| 3 | 9.2 |